# 1
A relaxed structure of LiMnRu2, computed with GGA-PBE.

Output
- DOS(E_F): 3.414 states/eV/f.u.
- ΔE_f: 183 meV per atom
- Volume: 54 Å³/cell
- Final energy: -7.23 eV per atom
- E above lowest polymorph: 64 meV per atom

Geometry as CIF:
```
data_LiMnRu2
_chemical_formula_sum 'Li1 Mn1 Ru2'
_symmetry_space_group_name_H-M 'P 1'
_symmetry_Int_Tables_number 1
_cell_length_a 5.090
_cell_length_b 5.090
_cell_length_c 5.090
_cell_angle_alpha 147.93
_cell_angle_beta 128.24
_cell_angle_gamma 62.20
loop_
_symmetry_equiv_pos_as_xyz
'x,y,z'
loop_
_atom_site_label
_atom_site_fract_x
_atom_site_fract_y
_atom_site_fract_z
Ru1 0.018 0.018 0.000
Ru2 0.482 0.482 0.000
Li1 0.750 0.250 0.500
Mn1 0.250 0.750 0.500
```


# 2
A relaxed structure of LiMnRu2, computed with GGA-PBE.

Output
- DOS(E_F): 4.789 states/eV/f.u.
- ΔE_f: 231 meV per atom
- Volume: 51 Å³/cell
- Final energy: -7.18 eV per atom
- E above lowest polymorph: 112 meV per atom

Geometry as CIF:
```
data_LiMnRu2
_chemical_formula_sum 'Li1 Mn1 Ru2'
_symmetry_space_group_name_H-M 'P 1'
_symmetry_Int_Tables_number 1
_cell_length_a 4.223
_cell_length_b 4.223
_cell_length_c 2.843
_cell_angle_alpha 90.00
_cell_angle_beta 90.00
_cell_angle_gamma 90.03
loop_
_symmetry_equiv_pos_as_xyz
'x,y,z'
loop_
_atom_site_label
_atom_site_fract_x
_atom_site_fract_y
_atom_site_fract_z
Ru1 0.500 0.500 0.000
Ru2 0.000 0.000 0.000
Li1 0.500 0.000 0.500
Mn1 0.000 0.500 0.500
```


# 3
A relaxed structure of LiMn2Ru, computed with GGA-PBE.

Output
- DOS(E_F): 3.748 states/eV/f.u.
- ΔE_f: 147 meV per atom
- Volume: 50 Å³/cell
- Final energy: -7.24 eV per atom

Geometry as CIF:
```
data_LiMn2Ru
_chemical_formula_sum 'Li1 Mn2 Ru1'
_symmetry_space_group_name_H-M 'P 1'
_symmetry_Int_Tables_number 1
_cell_length_a 4.143
_cell_length_b 4.143
_cell_length_c 4.143
_cell_angle_alpha 120.10
_cell_angle_beta 120.10
_cell_angle_gamma 89.83
loop_
_symmetry_equiv_pos_as_xyz
'x,y,z'
loop_
_atom_site_label
_atom_site_fract_x
_atom_site_fract_y
_atom_site_fract_z
Mn1 0.250 0.750 0.500
Mn2 0.000 0.000 0.000
Ru1 0.500 0.500 0.000
Li1 0.750 0.250 0.500
```


# 4
A relaxed structure of LiMnRu3, computed with GGA-PBE.

Output
- DOS(E_F): 8.067 states/eV/f.u.
- ΔE_f: 1117 meV per atom
- Volume: 86 Å³/cell
- Final energy: -6.67 eV per atom
- E above lowest polymorph: 0 meV per atom

Geometry as CIF:
```
data_LiMnRu3
_chemical_formula_sum 'Li1 Mn1 Ru3'
_symmetry_space_group_name_H-M 'P 1'
_symmetry_Int_Tables_number 1
_cell_length_a 4.418
_cell_length_b 4.418
_cell_length_c 4.418
_cell_angle_alpha 90.00
_cell_angle_beta 90.00
_cell_angle_gamma 90.00
loop_
_symmetry_equiv_pos_as_xyz
'x,y,z'
loop_
_atom_site_label
_atom_site_fract_x
_atom_site_fract_y
_atom_site_fract_z
Mn1 0.000 0.000 0.000
Ru1 0.000 0.000 0.500
Ru2 0.000 0.500 0.000
Ru3 0.500 0.000 0.000
Li1 0.500 0.500 0.500
```


# 5
A relaxed structure of Li3MnRu, computed with GGA-PBE.

Output
- DOS(E_F): 1.521 states/eV/f.u.
- ΔE_f: 1222 meV per atom
- Volume: 86 Å³/cell
- Final energy: -3.62 eV per atom
- E above lowest polymorph: 0 meV per atom

Geometry as CIF:
```
data_Li3MnRu
_chemical_formula_sum 'Li3 Mn1 Ru1'
_symmetry_space_group_name_H-M 'P 1'
_symmetry_Int_Tables_number 1
_cell_length_a 4.410
_cell_length_b 4.410
_cell_length_c 4.410
_cell_angle_alpha 90.00
_cell_angle_beta 90.00
_cell_angle_gamma 90.00
loop_
_symmetry_equiv_pos_as_xyz
'x,y,z'
loop_
_atom_site_label
_atom_site_fract_x
_atom_site_fract_y
_atom_site_fract_z
Mn1 0.000 0.000 0.000
Li1 0.000 0.500 0.000
Li2 0.000 0.000 0.500
Li3 0.500 0.000 0.000
Ru1 0.500 0.500 0.500
```


# 6
A relaxed structure of LiMnRu2, computed with GGA-PBE.

Output
- DOS(E_F): 2.875 states/eV/f.u.
- ΔE_f: 209 meV per atom
- Volume: 54 Å³/cell
- Final energy: -7.20 eV per atom
- E above lowest polymorph: 90 meV per atom

Geometry as CIF:
```
data_LiMnRu2
_chemical_formula_sum 'Li1 Mn1 Ru2'
_symmetry_space_group_name_H-M 'P 1'
_symmetry_Int_Tables_number 1
_cell_length_a 4.244
_cell_length_b 4.244
_cell_length_c 4.244
_cell_angle_alpha 60.00
_cell_angle_beta 60.00
_cell_angle_gamma 60.00
loop_
_symmetry_equiv_pos_as_xyz
'x,y,z'
loop_
_atom_site_label
_atom_site_fract_x
_atom_site_fract_y
_atom_site_fract_z
Mn1 0.750 0.750 0.750
Ru1 0.000 0.000 0.000
Ru2 0.250 0.250 0.250
Li1 0.500 0.500 0.500
```


# 7
A relaxed structure of LiMnRu3, computed with GGA-PBE.

Output
- DOS(E_F): 7.255 states/eV/f.u.
- ΔE_f: 1163 meV per atom
- Volume: 65 Å³/cell
- Final energy: -6.62 eV per atom
- E above lowest polymorph: 46 meV per atom

Geometry as CIF:
```
data_LiMnRu3
_chemical_formula_sum 'Li1 Mn1 Ru3'
_symmetry_space_group_name_H-M 'P 1'
_symmetry_Int_Tables_number 1
_cell_length_a 4.016
_cell_length_b 4.016
_cell_length_c 4.016
_cell_angle_alpha 90.00
_cell_angle_beta 90.00
_cell_angle_gamma 90.00
loop_
_symmetry_equiv_pos_as_xyz
'x,y,z'
loop_
_atom_site_label
_atom_site_fract_x
_atom_site_fract_y
_atom_site_fract_z
Mn1 0.500 0.500 0.500
Ru1 0.500 0.000 0.000
Ru2 0.000 0.500 0.000
Ru3 0.000 0.000 0.500
Li1 0.000 0.000 0.000
```


# 8
A relaxed structure of LiMnRu2, computed with GGA-PBE.

Output
- DOS(E_F): 3.822 states/eV/f.u.
- ΔE_f: 203 meV per atom
- Volume: 53 Å³/cell
- Final energy: -7.21 eV per atom
- E above lowest polymorph: 84 meV per atom

Geometry as CIF:
```
data_LiMnRu2
_chemical_formula_sum 'Li1 Mn1 Ru2'
_symmetry_space_group_name_H-M 'P 1'
_symmetry_Int_Tables_number 1
_cell_length_a 4.200
_cell_length_b 2.631
_cell_length_c 4.818
_cell_angle_alpha 85.44
_cell_angle_beta 90.00
_cell_angle_gamma 90.00
loop_
_symmetry_equiv_pos_as_xyz
'x,y,z'
loop_
_atom_site_label
_atom_site_fract_x
_atom_site_fract_y
_atom_site_fract_z
Li1 0.500 0.250 0.250
Ru1 0.000 0.499 0.493
Ru2 0.000 0.001 0.007
Mn1 0.500 0.750 0.750
```


# 9
A relaxed structure of LiMn2Ru, computed with GGA-PBE.

Output
- DOS(E_F): 6.731 states/eV/f.u.
- ΔE_f: 761 meV per atom
- Volume: 105 Å³/cell
- Final energy: -6.62 eV per atom

Geometry as CIF:
```
data_LiMn2Ru
_chemical_formula_sum 'Li2 Mn4 Ru2'
_symmetry_space_group_name_H-M 'P 1'
_symmetry_Int_Tables_number 1
_cell_length_a 6.617
_cell_length_b 6.617
_cell_length_c 5.257
_cell_angle_alpha 51.00
_cell_angle_beta 51.00
_cell_angle_gamma 90.00
loop_
_symmetry_equiv_pos_as_xyz
'x,y,z'
loop_
_atom_site_label
_atom_site_fract_x
_atom_site_fract_y
_atom_site_fract_z
Ru1 0.000 0.000 0.000
Ru2 0.750 0.250 0.500
Mn1 0.099 0.625 0.250
Mn2 0.651 0.125 0.250
Mn3 0.375 0.349 0.750
Mn4 0.875 0.901 0.750
Li1 0.250 0.750 0.500
Li2 0.500 0.500 0.000
```


# 10
A relaxed structure of LiMn2Ru, computed with GGA-PBE.

Output
- DOS(E_F): 3.235 states/eV/f.u.
- ΔE_f: 186 meV per atom
- Volume: 51 Å³/cell
- Final energy: -7.20 eV per atom

Geometry as CIF:
```
data_LiMn2Ru
_chemical_formula_sum 'Li1 Mn2 Ru1'
_symmetry_space_group_name_H-M 'P 1'
_symmetry_Int_Tables_number 1
_cell_length_a 4.133
_cell_length_b 2.579
_cell_length_c 4.859
_cell_angle_alpha 81.44
_cell_angle_beta 90.00
_cell_angle_gamma 90.00
loop_
_symmetry_equiv_pos_as_xyz
'x,y,z'
loop_
_atom_site_label
_atom_site_fract_x
_atom_site_fract_y
_atom_site_fract_z
Li1 0.500 0.782 0.743
Mn1 0.500 0.254 0.243
Mn2 0.000 0.970 0.998
Ru1 0.000 0.495 0.515
```


# 11
A relaxed structure of LiMnRu2, computed with GGA-PBE.

Output
- DOS(E_F): 1.847 states/eV/f.u.
- ΔE_f: 552 meV per atom
- Volume: 116 Å³/cell
- Final energy: -6.86 eV per atom
- E above lowest polymorph: 433 meV per atom

Geometry as CIF:
```
data_LiMnRu2
_chemical_formula_sum 'Li2 Mn2 Ru4'
_symmetry_space_group_name_H-M 'P 1'
_symmetry_Int_Tables_number 1
_cell_length_a 6.775
_cell_length_b 6.775
_cell_length_c 5.420
_cell_angle_alpha 51.32
_cell_angle_beta 51.32
_cell_angle_gamma 90.00
loop_
_symmetry_equiv_pos_as_xyz
'x,y,z'
loop_
_atom_site_label
_atom_site_fract_x
_atom_site_fract_y
_atom_site_fract_z
Li1 0.250 0.750 0.500
Li2 0.500 0.500 0.000
Ru1 0.072 0.625 0.250
Ru2 0.375 0.322 0.750
Ru3 0.875 0.928 0.750
Ru4 0.678 0.125 0.250
Mn1 0.750 0.250 0.500
Mn2 0.000 0.000 0.000
```


# 12
A relaxed structure of LiMnRu2, computed with GGA-PBE.

Output
- DOS(E_F): 3.987 states/eV/f.u.
- ΔE_f: 200 meV per atom
- Volume: 54 Å³/cell
- Final energy: -7.21 eV per atom
- E above lowest polymorph: 80 meV per atom

Geometry as CIF:
```
data_LiMnRu2
_chemical_formula_sum 'Li1 Mn1 Ru2'
_symmetry_space_group_name_H-M 'P 1'
_symmetry_Int_Tables_number 1
_cell_length_a 4.641
_cell_length_b 4.641
_cell_length_c 4.555
_cell_angle_alpha 80.25
_cell_angle_beta 80.25
_cell_angle_gamma 34.01
loop_
_symmetry_equiv_pos_as_xyz
'x,y,z'
loop_
_atom_site_label
_atom_site_fract_x
_atom_site_fract_y
_atom_site_fract_z
Mn1 0.744 0.744 0.727
Ru1 0.256 0.256 0.227
Ru2 0.001 0.001 0.027
Li1 0.500 0.500 0.520
```